# PBE Sr3YbRhO6, optimized geometry
data_Sr3YbRhO6
_chemical_formula_sum 'Sr18 Yb6 Rh6 O36'
_cell_length_a 9.8462
_cell_length_b 9.8462
_cell_length_c 11.4756
_cell_angle_alpha 90.00
_cell_angle_beta 90.00
_cell_angle_gamma 120.00
_symmetry_space_group_name_H-M 'R -3 c'
_symmetry_Int_Tables_number 167
_symmetry_space_group_name_Hall '-R 3 2"c'
loop_
_atom_site_label
_atom_site_fract_x
_atom_site_fract_y
_atom_site_fract_z
_atom_site_occupancy
Sr1 0.0000 0.3674 0.2500 1
Yb1 0.0000 0.0000 0.2500 1
Rh1 0.0000 0.0000 0.0000 1
O1 0.0231 0.1793 0.3899 1
# E_form (uncorrected) ... -2.397 eV per atom
# Spin magnetization ... 6.15 μB/cell
# N(E_F) ... 1.6072 states/eV per atom
# E_tot ... -6.367 eV per atom